{"formula": "LiSi2Cl", "functional": "PBE", "state": "optimized geometry", "cell": [[-3.090, 3.090, 4.864], [3.090, -3.090, 4.864], [3.090, 3.090, -4.864]], "species": ["Li", "Li", "Si", "Si", "Si", "Si", "Cl", "Cl"], "frac_coords": [[0.000, 0.000, 0.000], [0.750, 0.250, 0.500], [0.105, 0.625, 0.980], [0.375, 0.355, 0.480], [0.645, 0.125, 0.020], [0.875, 0.895, 0.520], [0.250, 0.750, 0.500], [0.500, 0.500, 0.000]], "n_ef_per_ev_cell": 2.62, "mass_density_g_cm3": 1.762, "vol_a3_per_atom": 23.23, "relative_energy_mev_per_atom": 1450}

{"formula": "TaAlTe", "functional": "PBE", "state": "optimized geometry", "cell": [[0.000, 3.280, 3.280], [3.280, 0.000, 3.280], [3.280, 3.280, 0.000]], "species": ["Ta", "Al", "Te"], "frac_coords": [[0.000, 0.000, 0.000], [0.750, 0.750, 0.750], [0.250, 0.250, 0.250]], "n_ef_per_ev_cell": 3.35, "mass_density_g_cm3": 7.895, "vol_a3_per_atom": 23.52, "relative_energy_mev_per_atom": 603}

{"formula": "AcAg3Pb3", "functional": "PBE", "state": "optimized geometry", "cell": [[7.765, 0.000, 0.000], [0.000, 7.765, 0.000], [0.000, 0.000, 7.765]], "species": ["Ac", "Ac", "Ag", "Ag", "Ag", "Ag", "Ag", "Ag", "Pb", "Pb", "Pb", "Pb", "Pb", "Pb"], "frac_coords": [[0.000, 0.000, 0.000], [0.500, 0.500, 0.500], [0.000, 0.250, 0.500], [0.000, 0.750, 0.500], [0.250, 0.500, 0.000], [0.500, 0.000, 0.250], [0.500, 0.000, 0.750], [0.750, 0.500, 0.000], [0.000, 0.500, 0.250], [0.000, 0.500, 0.750], [0.250, 0.000, 0.500], [0.500, 0.250, 0.000], [0.500, 0.750, 0.000], [0.750, 0.000, 0.500]], "n_ef_per_ev_cell": 6.18, "mass_density_g_cm3": 8.316, "vol_a3_per_atom": 33.44, "e_form_kj_per_mol_atoms": 26}

Number 1: magnetization 0.00 μB per atom, calculated total energy -2.87 eV per atom. Number 2: magnetization 0.00 μB per atom, calculated total energy -5.67 eV per atom. Number 3: magnetization 0.00 μB per atom, calculated total energy -3.13 eV per atom.